1.
Compound: NbFeAgB
Source: OQMD
Functional: PBE
Structure: optimized geometry

Results
As for the energy above the most stable polymorph in this dataset: 58 kJ/mol of formula units. The electronic total energy comes out at -6.169 eV/atom.

```
data_NbFeAgB
_cell_length_a 6.009
_cell_length_b 6.009
_cell_length_c 6.009
_cell_angle_alpha 90.00
_cell_angle_beta 90.00
_cell_angle_gamma 90.00
_symmetry_space_group_name_H-M 'F -4 3 m'
_symmetry_Int_Tables_number 216
_symmetry_space_group_name_Hall 'F -4 2 3'
loop_
_atom_site_label
_atom_site_type_symbol
_atom_site_fract_x
_atom_site_fract_y
_atom_site_fract_z
_atom_site_occupancy
Nb1 Nb 0.000 0.000 0.000 1
Fe1 Fe 0.250 0.250 0.750 1
Ag1 Ag 0.250 0.250 0.250 1
B1 B 0.000 0.000 0.500 1
```


2.
Compound: DyEr2Ni2B2N3
Source: OQMD
Functional: PBE
Structure: optimized geometry

Results
The electronic total energy comes out at -7.561 eV/atom.

```
data_DyEr2Ni2B2N3
_cell_length_a 3.451
_cell_length_b 3.451
_cell_length_c 19.968
_cell_angle_alpha 90.00
_cell_angle_beta 90.00
_cell_angle_gamma 90.00
_symmetry_space_group_name_H-M 'I 4/m m m'
_symmetry_Int_Tables_number 139
_symmetry_space_group_name_Hall '-I 4 2'
loop_
_atom_site_label
_atom_site_type_symbol
_atom_site_fract_x
_atom_site_fract_y
_atom_site_fract_z
_atom_site_occupancy
Dy1 Dy 0.000 0.000 0.000 1
Er1 Er 0.000 0.000 0.377 1
Ni1 Ni 0.000 0.500 0.250 1
B1 B 0.000 0.000 0.189 1
N1 N 0.000 0.000 0.117 1
N2 N 0.000 0.000 0.500 1
```


Question: Which value of electronic total energy does entry 1 give?
Answer: -6.169 eV/atom


Question: Which of these has the highest electronic total energy?
Answer: NbFeAgB


Question: What is the formula in the first record?
Answer: NbFeAgB


Question: Which value of electronic total energy does entry 2 give?
Answer: -7.561 eV/atom